# Ga2HPtRh

Ga2HPtRh after structural relaxation (PBE-GGA, Alexandria via LeMat-Bulk).

Calculated values
Theoretical density: 6.4 g cm⁻³
E_tot: -3.8328 eV per atom
Energy above the most stable polymorph in this dataset: 1003 meV/atom

Unit cell a=4.786 b=4.786 c=4.932 alpha=90.00 beta=90.00 gamma=90.00
Sites, in units of the cell vectors:
Ga: 0.000 0.500 0.000
Ga: 0.500 0.000 0.000
H: 0.000 0.000 0.500
Pt: 0.500 0.500 0.500
Rh: 0.500 0.500 0.000